DFT (PBE) results for an optimized crystal structure of ZnReGe2.

## Properties
**Energy of formation**: 0.250 eV/atom
**E**: -21.96 eV per cell

CIF file:
```
data_ZnReGe2
_space_group_name_H-M_alt 'P 1'
_space_group_IT_number 1
_cell_length_a 8.388
_cell_length_b 8.388
_cell_length_c 8.388
_cell_angle_alpha 20.99
_cell_angle_beta 20.99
_cell_angle_gamma 20.99
loop_
_space_group_symop_operation_xyz
'x,y,z'
loop_
_atom_site_label
_atom_site_type_symbol
_atom_site_fract_x
_atom_site_fract_y
_atom_site_fract_z
Zn1 Zn 0.000 0.000 0.000
Re1 Re 0.166 0.166 0.166
Ge1 Ge 0.577 0.577 0.577
Ge2 Ge 0.756 0.756 0.756
```